(1)
DFT (meta-GGA SCAN) results for a crystal of MnCrAu relaxed with PBEsol.

energy of formation	-0.269	eV per atom
raw total energy	-35.53	eV per atom
spin magnetization	0.24	μB/cell
crystal system	tetragonal

a b c (Å): 3.0554 3.0554 4.9467
angles (deg): 107.99 107.99 90.00
Last column: magnetic moment on the atom in μB.
Fractional positions:
Au (0.9995, 0.9995, 0.9989)  -0.04
Mn (0.3116, 0.3116, 0.6233)  3.41
Cr (0.6889, 0.6889, 0.3778)  -3.05

(2)
DFT (meta-GGA SCAN) results for a crystal of Mn3CrAu relaxed with PBEsol.

energy of formation	0.679	eV per atom
raw total energy	-27.78	eV per atom
spin magnetization	18.53	μB/cell
crystal system	cubic

a b c (Å): 4.8528 4.8528 4.8528
angles (deg): 90.00 90.00 90.00
Last column: magnetic moment on the atom in μB.
Fractional positions:
Mn (0.5000, 0.0000, 0.0000)  4.31
Mn (0.0000, 0.0000, 0.5000)  4.31
Mn (0.0000, 0.5000, 0.0000)  4.31
Cr (0.5000, 0.5000, 0.5000)  4.16
Au (0.0000, 0.0000, 0.0000)  0.19

(3)
DFT (meta-GGA SCAN) results for a crystal of MnCr2Au relaxed with PBEsol.

energy of formation	0.219	eV per atom
relative energy among the computed polymorphs	37.9	kJ/mol of atoms
raw total energy	-30.83	eV per atom
spin magnetization	0.00	μB/cell
crystal system	tetragonal

a b c (Å): 3.0511 3.0511 5.4621
angles (deg): 90.00 90.00 90.00
Fractional positions:
Cr (0.0000, 0.0000, 0.8099)
Cr (0.0000, 0.0000, 0.1901)
Au (0.5000, 0.5000, 0.5000)
Mn (0.5000, 0.5000, 0.0000)

(4)
DFT (meta-GGA SCAN) results for a crystal of Mn2CrAu relaxed with PBEsol.

energy of formation	-0.129	eV per atom
raw total energy	-31.14	eV per atom
spin magnetization	3.76	μB/cell
crystal system	tetragonal

a b c (Å): 3.7026 3.7014 4.5422
angles (deg): 114.04 114.05 90.00
Last column: magnetic moment on the atom in μB.
Fractional positions:
Mn (0.2500, 0.7500, 0.4999)  3.60
Mn (0.0000, 0.0000, 0.0000)  -3.28
Au (0.5000, 0.5000, 0.0000)  0.09
Cr (0.7500, 0.2500, 0.5001)  3.14

(5)
DFT (meta-GGA SCAN) results for a crystal of Mn2CrAu relaxed with PBEsol.

energy of formation	-0.035	eV per atom
raw total energy	-31.05	eV per atom
spin magnetization	3.41	μB/cell
crystal system	monoclinic

a b c (Å): 2.6862 4.4800 4.5536
angles (deg): 109.39 90.00 90.00
Last column: magnetic moment on the atom in μB.
Fractional positions:
Mn (0.5000, 0.0000, 0.5000)  -3.40
Mn (0.0000, 0.0000, 0.0000)  3.55
Cr (0.0000, 0.5000, 0.5000)  3.04
Au (0.5000, 0.5000, 0.0000)  0.07

(6)
DFT (meta-GGA SCAN) results for a crystal of Mn2CrAu relaxed with PBEsol.

energy of formation	0.049	eV per atom
raw total energy	-30.96	eV per atom
spin magnetization	3.31	μB/cell
crystal system	tetragonal

a b c (Å): 3.0423 3.0423 5.4906
angles (deg): 90.00 90.00 90.00
Last column: magnetic moment on the atom in μB.
Fractional positions:
Mn (0.5000, 0.5000, 0.2020)  3.23
Mn (0.0000, 0.0000, 0.9972)  2.61
Au (0.0000, 0.0000, 0.4974)  -0.02
Cr (0.5000, 0.5000, 0.8034)  -2.52

(7)
DFT (meta-GGA SCAN) results for a crystal of MnCr2Au relaxed with PBEsol.

energy of formation	-0.173	eV per atom
relative energy among the computed polymorphs	0.0	kJ/mol of atoms
raw total energy	-31.22	eV per atom
spin magnetization	3.78	μB/cell
crystal system	cubic

a b c (Å): 4.3183 4.3183 4.3183
angles (deg): 60.00 60.00 60.00
Last column: magnetic moment on the atom in μB.
Fractional positions:
Cr (0.7500, 0.7500, 0.7500)  3.44
Cr (0.2500, 0.2500, 0.2500)  3.44
Mn (0.5000, 0.5000, 0.5000)  -3.62
Au (0.0000, 0.0000, 0.0000)  0.17

(8)
DFT (meta-GGA SCAN) results for a crystal of Cr2MoAu relaxed with PBEsol.

energy of formation	0.233	eV per atom
relative energy among the computed polymorphs	0.0	kJ/mol of atoms
raw total energy	-34.97	eV per atom
spin magnetization	0.29	μB/cell
crystal system	orthorhombic

a b c (Å): 3.2110 4.1823 4.8345
angles (deg): 115.63 109.40 90.00
Last column: magnetic moment on the atom in μB.
Fractional positions:
Cr (0.7371, 0.2371, 0.4741)  1.58
Cr (0.0244, 0.0244, 0.0488)  -1.48
Mo (0.4818, 0.4818, 0.9637)  0.13
Au (0.2567, 0.7567, 0.5134)  0.03

Please write out number 5 again, unchanged.
DFT (meta-GGA SCAN) results for a crystal of Mn2CrAu relaxed with PBEsol.

energy of formation	-0.035	eV per atom
raw total energy	-31.05	eV per atom
spin magnetization	3.41	μB/cell
crystal system	monoclinic

a b c (Å): 2.6862 4.4800 4.5536
angles (deg): 109.39 90.00 90.00
Last column: magnetic moment on the atom in μB.
Fractional positions:
Mn (0.5000, 0.0000, 0.5000)  -3.40
Mn (0.0000, 0.0000, 0.0000)  3.55
Cr (0.0000, 0.5000, 0.5000)  3.04
Au (0.5000, 0.5000, 0.0000)  0.07